(1)
A geometry-optimized AlRuPt2 structure. Source: Alexandria via LeMat-Bulk, functional PBE.

Computed properties:
M_tot: 1.23 μB/cell
formation energy: -0.028 eV/atom
theoretical density: 13.26 g/cm3
symmetry: I-42d, No. 122

abc: 9.4067 9.4067 9.4067
angles: 156.73 156.73 33.14
Atoms (fractional coordinates):
Al 0.0000 0.0000 0.0000
Al 0.7500 0.2500 0.5000
Ru 0.2500 0.7500 0.5000
Ru 0.5000 0.5000 0.0000
Pt 0.1256 0.6250 0.0006
Pt 0.3750 0.3756 0.5006
Pt 0.6244 0.1250 0.9994
Pt 0.8750 0.8744 0.4994

=====

(2)
A geometry-optimized Pr2Cd3Hg structure. Source: Alexandria via LeMat-Bulk, functional PBE.

Computed properties:
ΔE to the lowest computed polymorph: 0.2 kJ per mole of atoms
M_tot: 0.01 μB/cell
formation energy: -0.378 eV/atom
theoretical density: 8.62 g/cm3
symmetry: Pmm2, No. 25

abc: 3.5243 5.1070 8.7696
angles: 90.00 90.00 90.00
Atoms (fractional coordinates):
Pr 0.0000 0.0000 0.0000
Pr 0.0000 0.5000 0.4900
Cd 0.5000 0.0000 0.6652
Cd 0.5000 0.5000 0.1583
Cd 0.5000 0.5000 0.8258
Hg 0.5000 0.0000 0.3303

=====

(3)
A geometry-optimized LaSm5ErTm2 structure. Source: Alexandria via LeMat-Bulk, functional PBE.

Computed properties:
M_tot: 0.00 μB/cell
formation energy: 0.159 eV/atom
theoretical density: 7.68 g/cm3
symmetry: Cmc2_1, No. 36

abc: 10.4508 10.4508 10.5878
angles: 90.00 90.00 148.52
Atoms (fractional coordinates):
La 0.0839 0.9161 0.5000
La 0.9161 0.0839 0.0000
Sm 0.0202 0.9798 0.7889
Sm 0.1153 0.8847 0.0727
Sm 0.2031 0.7969 0.7572
Sm 0.2196 0.7804 0.3642
Sm 0.4829 0.5171 0.0720
Sm 0.5171 0.4829 0.5720
Sm 0.7804 0.2196 0.8642
Sm 0.7969 0.2031 0.2572
Sm 0.8847 0.1153 0.5727
Sm 0.9798 0.0202 0.2889
Er 0.3011 0.6989 0.0615
Er 0.6989 0.3011 0.5615
Tm 0.3852 0.6148 0.3674
Tm 0.3869 0.6131 0.7833
Tm 0.6131 0.3869 0.2833
Tm 0.6148 0.3852 0.8674

=====

(4)
A geometry-optimized LaCoB2 structure. Source: Alexandria via LeMat-Bulk, functional PBE.

Computed properties:
ΔE to the lowest computed polymorph: 0.0 kJ per mole of atoms
M_tot: 0.00 μB/cell
formation energy: -0.235 eV/atom
theoretical density: 5.89 g/cm3
symmetry: I4_1/amd, No. 141

abc: 6.6866 6.6866 6.6866
angles: 139.74 139.74 58.25
Atoms (fractional coordinates):
La 0.3750 0.6250 0.7500
La 0.6250 0.3750 0.2500
Co 0.1250 0.8750 0.2500
Co 0.8750 0.1250 0.7500
B 0.0000 0.0000 0.0000
B 0.0000 0.0000 0.5000
B 0.0000 0.5000 0.0000
B 0.5000 0.0000 0.5000

=====

(5)
A geometry-optimized CePr2Nd2 structure. Source: Alexandria via LeMat-Bulk, functional PBE.

Computed properties:
ΔE to the lowest computed polymorph: 0.0 kJ per mole of atoms
M_tot: 0.84 μB/cell
formation energy: 0.384 eV/atom
theoretical density: 6.43 g/cm3
symmetry: I4/mmm, No. 139

abc: 9.0247 9.0247 9.0247
angles: 149.98 149.98 42.96
Atoms (fractional coordinates):
Ce 0.0000 0.0000 0.0000
Pr 0.4071 0.4071 0.0000
Pr 0.5929 0.5929 0.0000
Nd 0.2500 0.7500 0.5000
Nd 0.7500 0.2500 0.5000

=====

(6)
A geometry-optimized Ac6HgGe2Br3 structure. Source: Alexandria via LeMat-Bulk, functional PBE.

Computed properties:
M_tot: 0.00 μB/cell
formation energy from raw total energies: -1.022 eV per atom
theoretical density: 7.66 g/cm3
symmetry: C2/m, No. 12

abc: 10.2894 10.2894 9.2252
angles: 100.33 100.33 26.08
Atoms (fractional coordinates):
Ac 0.0082 0.0082 0.2452
Ac 0.3269 0.3269 0.4321
Ac 0.3345 0.3345 0.8968
Ac 0.6655 0.6655 0.1032
Ac 0.6731 0.6731 0.5679
Ac 0.9918 0.9918 0.7548
Hg 0.5000 0.5000 0.0000
Ge 0.1681 0.1681 0.3348
Ge 0.8319 0.8319 0.6652
Br 0.1663 0.1663 0.8304
Br 0.5000 0.5000 0.5000
Br 0.8337 0.8337 0.1696

=====

(7)
A geometry-optimized Li2YAl structure. Source: Alexandria via LeMat-Bulk, functional PBE.

Computed properties:
M_tot: 0.00 μB/cell
formation energy: -0.057 eV/atom
theoretical density: 2.40 g/cm3
symmetry: Pm, No. 6

abc: 3.2977 4.7350 5.9721
angles: 90.00 105.42 90.00
Atoms (fractional coordinates):
Li 0.0000 0.0000 0.0000
Li 0.4109 0.5000 0.8265
Y 0.6931 0.5000 0.3712
Al 0.2850 0.0000 0.5610

=====

(8)
A geometry-optimized Ca6Mg5Al structure. Source: Alexandria via LeMat-Bulk, functional PBE.

Computed properties:
M_tot: 0.00 μB/cell
formation energy: -0.107 eV/atom
theoretical density: 1.79 g/cm3
symmetry: Immm, No. 71

abc: 9.5866 9.5866 9.5866
angles: 146.56 131.50 60.20
Atoms (fractional coordinates):
Ca 0.0813 0.3384 0.7429
Ca 0.2365 0.0000 0.2365
Ca 0.4045 0.6616 0.7429
Ca 0.5955 0.3384 0.2571
Ca 0.7635 0.0000 0.7635
Ca 0.9187 0.6616 0.2571
Mg 0.1731 0.1731 0.0000
Mg 0.3342 0.8342 0.5000
Mg 0.5000 0.5000 0.0000
Mg 0.6658 0.1658 0.5000
Mg 0.8269 0.8269 0.0000
Al 0.0000 0.5000 0.5000

=====

(9)
A geometry-optimized TbScGaPd structure. Source: Alexandria via LeMat-Bulk, functional PBE.

Computed properties:
ΔE to the lowest computed polymorph: 0.0 kJ per mole of atoms
M_tot: 0.00 μB/cell
formation energy: -0.726 eV/atom
theoretical density: 7.35 g/cm3
symmetry: Amm2, No. 38

abc: 4.3628 5.7824 5.7824
angles: 36.08 90.00 90.00
Atoms (fractional coordinates):
Tb 0.0000 0.0000 0.0000
Sc 0.5000 0.7161 0.7161
Ga 0.0000 0.2698 0.2698
Pd 0.5000 0.4225 0.4225

=====

(10)
A geometry-optimized PuZn2F11 structure. Source: Alexandria via LeMat-Bulk, functional PBE.

Computed properties:
M_tot: 6.01 μB/cell
formation energy from raw total energies: -2.234 eV per atom
theoretical density: 4.89 g/cm3
symmetry: Ibam, No. 72

abc: 8.2040 8.2040 8.2040
angles: 125.63 107.60 96.61
Atoms (fractional coordinates):
Pu 0.2500 0.2500 0.0000
Pu 0.7500 0.7500 0.0000
Zn 0.1960 0.6579 0.8539
Zn 0.3040 0.1579 0.4618
Zn 0.6960 0.8421 0.5382
Zn 0.8040 0.3421 0.1461
F 0.0000 0.5000 0.5000
F 0.0203 0.9564 0.2845
F 0.0584 0.3372 0.1328
F 0.1720 0.4564 0.9361
F 0.2012 0.3901 0.5914
F 0.2044 0.9257 0.8672
F 0.2956 0.1628 0.7212
F 0.2988 0.8901 0.1889
F 0.3280 0.2642 0.2845
F 0.4416 0.5743 0.2788
F 0.4797 0.7642 0.9361
F 0.5000 0.0000 0.5000
F 0.5203 0.2358 0.0639
F 0.5584 0.4257 0.7212
F 0.6720 0.7358 0.7155
F 0.7012 0.1099 0.8111
F 0.7044 0.8372 0.2788
F 0.7956 0.0743 0.1328
F 0.7988 0.6099 0.4086
F 0.8280 0.5436 0.0639
F 0.9416 0.6628 0.8672
F 0.9797 0.0436 0.7155

=====

(11)
A geometry-optimized SrAl2Ag structure. Source: Alexandria via LeMat-Bulk, functional PBE.

Computed properties:
M_tot: 0.00 μB/cell
formation energy: 0.032 eV/atom
theoretical density: 4.42 g/cm3
symmetry: Immm, No. 71

abc: 6.0502 6.0502 6.0502
angles: 148.11 125.86 64.23
Atoms (fractional coordinates):
Sr 0.0000 0.0000 0.0000
Al 0.2837 0.7837 0.5000
Al 0.7163 0.2163 0.5000
Ag 0.5000 0.5000 0.0000

=====

(12)
A geometry-optimized BiSb2IrI structure. Source: Alexandria via LeMat-Bulk, functional PBE.

Computed properties:
ΔE to the lowest computed polymorph: 0.0 kJ per mole of atoms
M_tot: 0.00 μB/cell
formation energy from raw total energies: 0.439 eV per atom
theoretical density: 8.59 g/cm3
symmetry: P4/mmm, No. 123

abc: 5.1849 5.1849 5.5458
angles: 90.00 90.00 90.00
Atoms (fractional coordinates):
Bi 0.0000 0.0000 0.0000
Sb 0.0000 0.5000 0.5000
Sb 0.5000 0.0000 0.5000
Ir 0.5000 0.5000 0.5000
I 0.5000 0.5000 0.0000

=====

> The highest theoretical density belongs to which entry?

AlRuPt2